# K4TcOs, optimized geometry, DFT PBE-GGA
data_K4TcOs
_cell_length_a 9.012
_cell_length_b 9.012
_cell_length_c 9.012
_cell_angle_alpha 90.00
_cell_angle_beta 90.00
_cell_angle_gamma 90.00
_symmetry_space_group_name_H-M 'F -4 3 m'
_symmetry_Int_Tables_number 216
_symmetry_space_group_name_Hall 'F -4 2 3'
loop_
_atom_site_label
_atom_site_fract_x
_atom_site_fract_y
_atom_site_fract_z
K1 0.124 0.124 0.124
Tc1 0.000 0.000 0.500
Os1 0.250 0.250 0.750
# Energy relative to the elements   1.88 eV per atom
# Crystal system   cubic